Entry 1:
Material: ThAs2Rh7
Method: DFT, GGA-PBE
State: optimized geometry

The structure in POSCAR format:
```
ThAs2Rh7
1.0
4.015 0.000 -0.773
-0.149 4.012 -0.773
-0.093 -0.097 10.334
Th As Rh
1 2 7
Direct
0.000 0.000 0.000 Th
0.677 0.677 0.354 As
0.323 0.323 0.646 As
0.106 0.606 0.213 Rh
0.394 0.894 0.787 Rh
0.606 0.106 0.213 Rh
0.500 0.500 0.000 Rh
0.750 0.250 0.500 Rh
0.894 0.394 0.787 Rh
0.250 0.750 0.500 Rh
```

total magnetic moment	0.0	Bohr magnetons per cell
electronic total energy	-7.3618	eV per atom

=====

Entry 2:
Material: Pu4Ga2SnPt
Method: DFT, GGA-PBE
State: optimized geometry

The structure in POSCAR format:
```
Pu4Ga2SnPt
1.0
5.141 0.000 0.000
2.571 4.453 0.000
2.571 1.484 8.319
Pu Ga Sn Pt
4 2 1 1
Direct
0.384 0.384 0.847 Pu
0.867 0.867 0.400 Pu
0.133 0.133 0.600 Pu
0.616 0.616 0.153 Pu
0.744 0.744 0.767 Ga
0.256 0.256 0.233 Ga
0.000 0.000 0.000 Sn
0.500 0.500 0.500 Pt
```

total magnetic moment	0.3	Bohr magnetons per cell
electronic total energy	-9.5275	eV per atom

=====

Entry 3:
Material: Tb7Pm5
Method: DFT, GGA-PBE
State: optimized geometry

The structure in POSCAR format:
```
Tb7Pm5
1.0
5.805 0.000 0.000
-2.903 4.801 -0.353
0.000 -2.534 14.600
Tb Pm
7 5
Direct
0.242 0.485 0.672 Tb
0.758 0.515 0.328 Tb
0.043 0.086 0.214 Tb
0.957 0.914 0.786 Tb
0.682 0.363 0.083 Tb
0.500 0.000 0.500 Tb
0.318 0.637 0.917 Tb
0.137 0.274 0.437 Pm
0.863 0.726 0.563 Pm
0.378 0.756 0.201 Pm
0.622 0.244 0.799 Pm
0.000 0.000 0.000 Pm
```

total magnetic moment	0.0	Bohr magnetons per cell
electronic total energy	-4.4993	eV per atom
offset from the most stable computed form	178.6	meV per atom